This record from Alexandria describes an optimized crystal structure of PaTiO4F. The functional is PBE-GGA.

abc: 5.973 5.973 6.981
angles: 74.84 74.84 72.83
Element x y z (fractional)
1 Pa 0.222 0.222 0.875
2 Pa 0.778 0.778 0.125
3 Ti 0.653 0.653 0.711
4 Ti 0.347 0.347 0.289
5 O 0.253 0.253 0.559
6 O 0.747 0.747 0.441
7 O 0.100 0.485 0.151
8 O 0.546 0.546 0.227
9 O 0.515 0.900 0.849
10 O 0.485 0.100 0.151
11 O 0.454 0.454 0.773
12 O 0.900 0.515 0.849
13 F 0.019 0.019 0.164
14 F 0.981 0.981 0.836

Properties
* DOS(E_F): 0.00 states/eV/cell
* density: 5.34 g/cm³
* final energy: -125.4 eV per cell
* formation energy from raw total energies: -3.37 eV/atom